{"formula": "Mg2MoW", "functional": "PBE", "state": "relaxed", "lattice_angstrom": [[-2.743, -1.188, 1.383], [1.555, -2.829, 0.654], [1.973, 2.483, 6.048]], "species": ["Mg", "Mg", "Mo", "W"], "frac_coords": [[0.000, 0.000, 0.983], [0.500, 0.500, 0.268], [0.000, 0.000, 0.539], [0.500, 0.500, 0.711]], "relative_energy_mev_per_atom": 32, "space_group": "No. 99"}

***

{"formula": "MgMoW2", "functional": "PBE", "state": "relaxed", "lattice_angstrom": [[-0.651, -2.473, -1.035], [2.406, 0.810, -1.079], [4.500, -4.097, 6.954]], "species": ["Mg", "Mo", "W", "W"], "frac_coords": [[0.000, 0.000, 0.501], [0.500, 0.500, 0.761], [0.000, 0.000, 0.999], [0.500, 0.500, 0.239]], "space_group": "No. 35"}

***

{"formula": "Mg2Mo2W", "functional": "PBE", "state": "relaxed", "lattice_angstrom": [[-2.416, -2.424, -1.095], [2.020, -0.710, -2.885], [3.248, -6.656, 1.675]], "species": ["Mo", "Mo", "Mg", "Mg", "W"], "frac_coords": [[0.417, 0.417, 0.166], [0.583, 0.583, 0.834], [0.750, 0.250, 0.500], [0.250, 0.750, 0.500], [0.000, 0.000, 0.000]], "relative_energy_mev_per_atom": 190, "space_group": "No. 139"}

***

{"formula": "MgMoW2", "functional": "PBE", "state": "relaxed", "lattice_angstrom": [[-2.476, -2.174, -0.684], [0.567, -1.876, 3.908], [-2.945, 2.796, 1.769]], "species": ["Mg", "Mo", "W", "W"], "frac_coords": [[0.500, 0.000, 0.500], [0.000, 0.500, 0.500], [0.000, 0.000, 0.000], [0.500, 0.500, 0.000]], "space_group": "No. 47"}

***

{"formula": "MgMoW2", "functional": "PBE", "state": "relaxed", "lattice_angstrom": [[-1.778, -1.247, -1.533], [-1.282, -2.477, 3.500], [-3.812, 3.824, 1.309]], "species": ["Mg", "Mo", "W", "W"], "frac_coords": [[0.000, 0.000, 0.502], [0.500, 0.500, 0.747], [0.000, 0.000, 0.002], [0.500, 0.500, 0.249]], "space_group": "No. 25"}

***

{"formula": "MgMoW2", "functional": "PBE", "state": "relaxed", "lattice_angstrom": [[-1.926, 1.424, -3.899], [0.368, -2.462, -1.081], [-4.607, -2.315, 1.430]], "species": ["Mg", "Mo", "W", "W"], "frac_coords": [[0.500, 0.250, 0.250], [0.500, 0.750, 0.750], [0.000, 0.992, 0.994], [0.000, 0.508, 0.506]], "space_group": "No. 10"}

***

{"formula": "Mg2MoW", "functional": "PBE", "state": "relaxed", "lattice_angstrom": [[2.734, 0.000, 0.000], [0.000, 2.734, 0.000], [0.000, 0.000, 9.470]], "species": ["Mg", "Mg", "Mo", "W"], "frac_coords": [[0.000, 0.000, 0.986], [0.500, 0.500, 0.264], [0.000, 0.000, 0.503], [0.500, 0.500, 0.747]], "relative_energy_mev_per_atom": 167, "space_group": "No. 99"}

***

{"formula": "Mg2Mo2W", "functional": "PBE", "state": "relaxed", "lattice_angstrom": [[6.394, 0.000, 0.000], [0.000, 6.394, 0.000], [0.000, 0.000, 4.740]], "species": ["Mo", "Mo", "Mo", "Mo", "Mg", "Mg", "Mg", "Mg", "W", "W"], "frac_coords": [[0.364, 0.864, 0.000], [0.864, 0.636, 0.000], [0.636, 0.136, 0.000], [0.136, 0.364, 0.000], [0.171, 0.671, 0.500], [0.671, 0.829, 0.500], [0.829, 0.329, 0.500], [0.329, 0.171, 0.500], [0.000, 0.000, 0.000], [0.500, 0.500, 0.000]], "relative_energy_mev_per_atom": 0, "space_group": "No. 127"}

***

{"formula": "Mg2MoW", "functional": "PBE", "state": "relaxed", "lattice_angstrom": [[-9.450, -2.849, 1.145], [-8.647, -2.973, 3.889], [-9.531, -0.493, 2.767]], "species": ["Mg", "Mg", "Mo", "W"], "frac_coords": [[0.000, 0.000, 0.000], [0.500, 0.500, 0.500], [0.250, 0.250, 0.250], [0.750, 0.750, 0.750]], "relative_energy_mev_per_atom": 291, "space_group": "No. 166"}

***

{"formula": "MgMoW4", "functional": "PBE", "state": "relaxed", "lattice_angstrom": [[0.000, 3.734, 3.734], [3.734, 0.000, 3.734], [3.734, 3.734, 0.000]], "species": ["Mg", "Mo", "W", "W", "W", "W"], "frac_coords": [[0.750, 0.750, 0.750], [0.000, 0.000, 0.000], [0.874, 0.375, 0.375], [0.375, 0.375, 0.874], [0.375, 0.874, 0.375], [0.375, 0.375, 0.375]], "space_group": "No. 216"}

***

{"formula": "MgMoW2", "functional": "PBE", "state": "relaxed", "lattice_angstrom": [[-0.973, -1.463, -4.175], [-2.233, -1.213, 0.945], [-3.574, 4.031, -0.580]], "species": ["Mg", "Mo", "W", "W"], "frac_coords": [[0.000, 0.506, 0.502], [0.500, 0.758, 0.755], [0.000, 0.991, 0.001], [0.500, 0.244, 0.242]], "space_group": "No. 6"}

***

{"formula": "Mg2MoW", "functional": "PBE", "state": "relaxed", "lattice_angstrom": [[-3.180, -3.167, -2.941], [-1.534, -4.741, 1.992], [0.169, 5.126, 1.579]], "species": ["Mg", "Mg", "Mo", "W"], "frac_coords": [[0.000, 0.000, 0.000], [0.500, 0.500, 0.000], [0.250, 0.750, 0.500], [0.750, 0.250, 0.500]], "relative_energy_mev_per_atom": 194, "space_group": "No. 139"}

***

| no. | DFT total energy (eV per atom) | N(E_F) (states/eV per cell) |
| --- | --- | --- |
| 1 | -6.49 | 3.39 |
| 2 | -9.39 | 2.43 |
| 3 | -6.72 | 3.26 |
| 4 | -9.14 | 2.85 |
| 5 | -9.16 | 3.06 |
| 6 | -9.30 | 2.41 |
| 7 | -6.35 | 1.47 |
| 8 | -6.91 | 9.74 |
| 9 | -6.23 | 5.30 |
| 10 | -10.37 | 2.37 |
| 11 | -9.31 | 1.85 |
| 12 | -6.33 | 2.55 |